This record from the Alexandria database describes a geometry-optimized Na2CaBi2 structure. The functional is GGA-PBE.

Output
DOS(E_F)	4.27	states/eV per cell
relative energy among the computed polymorphs	0.128	eV per atom
magnetic moment	0.00	μB/f.u.
DFT formation energy	-34.6	kJ/mol of atoms

Cell lengths 4.6385, 4.6385, 8.2006 Å; angles 73.57, 73.57, 90.00 degrees
Element x y z (fractional)
Na 0.7500 0.2500 0.5000
Na 0.2500 0.7500 0.5000
Bi 0.6012 0.6012 0.7977
Bi 0.3988 0.3988 0.2023
Ca 0.0000 0.0000 0.0000